(1)
Ho2ZrAu6 | PBE | relaxed

Output
Crystal system: monoclinic
Magnetic moment, μB per formula unit: 0.000
Formation enthalpy at 0 K, meV/atom: -691

CIF file:
```
data_Ho2ZrAu6
_cell_length_a 5.1758
_cell_length_b 16.0663
_cell_length_c 5.1652
_cell_angle_alpha 90.00
_cell_angle_beta 119.98
_cell_angle_gamma 90.00
_space_group_name_H-M_alt 'C 1 2/m 1'
_space_group_IT_number 12
loop_
_space_group_symop_operation_xyz
'x,y,z'
'-x,-y,-z'
'-x,y,-z'
'x,-y,z'
'x+1/2,y+1/2,z'
'-x+1/2,-y+1/2,-z'
'-x+1/2,y+1/2,-z'
'x+1/2,-y+1/2,z'
loop_
_atom_site_label
_atom_site_type_symbol
_atom_site_fract_x
_atom_site_fract_y
_atom_site_fract_z
_atom_site_occupancy
Ho1 Ho 0.0000 0.1656 0.0000 1
Zr1 Zr 0.0000 0.5000 0.5000 1
Au1 Au 0.1616 0.0000 0.8312 1
Au2 Au 0.1627 0.3380 0.3346 1
```

***

(2)
AuI4 | PBE | relaxed

Output
Crystal system: monoclinic
Magnetic moment, μB per formula unit: 0.000
ΔE_f (raw), meV per atom: 86
Energy above the lowest structure with this stoichiometry, kJ/mol of atoms: 5.22

CIF file:
```
data_AuI4
_cell_length_a 5.9972
_cell_length_b 9.8113
_cell_length_c 8.0736
_cell_angle_alpha 90.00
_cell_angle_beta 105.29
_cell_angle_gamma 90.00
_space_group_name_H-M_alt 'P 1 2/c 1'
_space_group_IT_number 13
loop_
_space_group_symop_operation_xyz
'x,y,z'
'-x,-y,-z'
'-x,y,-z+1/2'
'x,-y,z+1/2'
loop_
_atom_site_label
_atom_site_type_symbol
_atom_site_fract_x
_atom_site_fract_y
_atom_site_fract_z
_atom_site_occupancy
Au1 Au 0.0000 0.0839 0.2500 1
I1 I 0.2418 0.3701 0.2129 1
I2 I 0.2689 0.0887 0.5937 1
```

***

(3)
Au2I3 | PBE | relaxed

Output
Crystal system: monoclinic
Magnetic moment, μB per formula unit: 0.000
ΔE_f (raw), meV per atom: 66
Energy above the lowest structure with this stoichiometry, kJ/mol of atoms: 4.28

CIF file:
```
data_Au2I3
_cell_length_a 23.0811
_cell_length_b 4.0877
_cell_length_c 8.3085
_cell_angle_alpha 90.00
_cell_angle_beta 108.36
_cell_angle_gamma 90.00
_space_group_name_H-M_alt 'C 1 2/m 1'
_space_group_IT_number 12
loop_
_space_group_symop_operation_xyz
'x,y,z'
'-x,-y,-z'
'-x,y,-z'
'x,-y,z'
'x+1/2,y+1/2,z'
'-x+1/2,-y+1/2,-z'
'-x+1/2,y+1/2,-z'
'x+1/2,-y+1/2,z'
loop_
_atom_site_label
_atom_site_type_symbol
_atom_site_fract_x
_atom_site_fract_y
_atom_site_fract_z
_atom_site_occupancy
Au1 Au 0.0843 0.0000 0.4808 1
Au2 Au 0.1098 0.5000 0.7292 1
I1 I 0.0169 0.5000 0.2717 1
I2 I 0.1441 0.0000 0.9704 1
I3 I 0.1922 0.5000 0.5457 1
```

***

(4)
AuI4 | PBE | relaxed

Output
Crystal system: cubic
Magnetic moment, μB per formula unit: 1.220
ΔE_f (raw), meV per atom: 255
Energy above the lowest structure with this stoichiometry, kJ/mol of atoms: 21.54

CIF file:
```
data_AuI4
_cell_length_a 5.6824
_cell_length_b 5.6824
_cell_length_c 5.6824
_cell_angle_alpha 90.00
_cell_angle_beta 90.00
_cell_angle_gamma 90.00
_space_group_name_H-M_alt 'P m -3 m'
_space_group_IT_number 221
_space_group_name_Hall '-P 4 2 3'
loop_
_atom_site_label
_atom_site_type_symbol
_atom_site_fract_x
_atom_site_fract_y
_atom_site_fract_z
_atom_site_occupancy
Au1 Au 0.0000 0.0000 0.0000 1
I1 I 0.0000 0.0000 0.5000 1
I2 I 0.5000 0.5000 0.5000 1
```

***

(5)
AuI4 | PBE | relaxed

Output
Crystal system: monoclinic
Magnetic moment, μB per formula unit: 0.000
ΔE_f (raw), meV per atom: 32
Energy above the lowest structure with this stoichiometry, kJ/mol of atoms: 0.00

CIF file:
```
data_AuI4
_cell_length_a 15.5827
_cell_length_b 6.5358
_cell_length_c 10.4150
_cell_angle_alpha 90.00
_cell_angle_beta 105.06
_cell_angle_gamma 90.00
_space_group_name_H-M_alt 'C 1 2/c 1'
_space_group_IT_number 15
loop_
_space_group_symop_operation_xyz
'x,y,z'
'-x,-y,-z'
'-x,y,-z+1/2'
'x,-y,z+1/2'
'x+1/2,y+1/2,z'
'-x+1/2,-y+1/2,-z'
'-x+1/2,y+1/2,-z+1/2'
'x+1/2,-y+1/2,z+1/2'
loop_
_atom_site_label
_atom_site_type_symbol
_atom_site_fract_x
_atom_site_fract_y
_atom_site_fract_z
_atom_site_occupancy
Au1 Au 0.0000 0.2436 0.2500 1
I1 I 0.1322 0.0072 0.8840 1
I2 I 0.1317 0.4964 0.3835 1
```

***

(6)
Au2I13 | PBE | relaxed

Output
Crystal system: triclinic
Magnetic moment, μB per formula unit: 0.000
ΔE_f (raw), meV per atom: 12

CIF file:
```
data_Au2I13
_cell_length_a 8.0438
_cell_length_b 9.6244
_cell_length_c 11.4041
_cell_angle_alpha 69.08
_cell_angle_beta 87.85
_cell_angle_gamma 75.59
_space_group_name_H-M_alt 'P -1'
_space_group_IT_number 2
loop_
_space_group_symop_operation_xyz
'x,y,z'
'-x,-y,-z'
loop_
_atom_site_label
_atom_site_type_symbol
_atom_site_fract_x
_atom_site_fract_y
_atom_site_fract_z
_atom_site_occupancy
Au1 Au 0.1790 0.2446 0.2041 1
I1 I 0.0000 0.0000 0.0000 1
I2 I 0.1574 0.2543 0.9674 1
I3 I 0.1633 0.7423 0.7321 1
I4 I 0.1797 0.2710 0.4283 1
I5 I 0.2903 0.5856 0.3551 1
I6 I 0.4102 0.8480 0.3032 1
I7 I 0.4719 0.7689 0.8418 1
```

***

(7)
AuI3 | PBE | relaxed

Output
Crystal system: orthorhombic
Magnetic moment, μB per formula unit: 0.000
ΔE_f (raw), meV per atom: 57

CIF file:
```
data_AuI3
_cell_length_a 12.6827
_cell_length_b 6.0246
_cell_length_c 9.1949
_cell_angle_alpha 90.00
_cell_angle_beta 90.00
_cell_angle_gamma 90.00
_space_group_name_H-M_alt 'C m c m'
_space_group_IT_number 63
_space_group_name_Hall '-C 2c 2'
loop_
_atom_site_label
_atom_site_type_symbol
_atom_site_fract_x
_atom_site_fract_y
_atom_site_fract_z
_atom_site_occupancy
Au1 Au 0.0000 0.2268 0.2500 1
I1 I 0.0000 0.2738 0.7500 1
I2 I 0.2077 0.2254 0.2500 1
```

***

(8)
Au6I | PBE | relaxed

Output
Crystal system: cubic
Magnetic moment, μB per formula unit: 0.000
ΔE_f (raw), meV per atom: 590

CIF file:
```
data_Au6I
_cell_length_a 7.5101
_cell_length_b 7.5101
_cell_length_c 7.5101
_cell_angle_alpha 90.00
_cell_angle_beta 90.00
_cell_angle_gamma 90.00
_space_group_name_H-M_alt 'I m -3 m'
_space_group_IT_number 229
_space_group_name_Hall '-I 4 2 3'
loop_
_atom_site_label
_atom_site_type_symbol
_atom_site_fract_x
_atom_site_fract_y
_atom_site_fract_z
_atom_site_occupancy
Au1 Au 0.0000 0.2500 0.5000 1
I1 I 0.0000 0.0000 0.0000 1
```

***

(9)
AuI3 | PBE | relaxed

Output
Crystal system: cubic
Magnetic moment, μB per formula unit: 0.000
ΔE_f (raw), meV per atom: 618

CIF file:
```
data_AuI3
_cell_length_a 7.8921
_cell_length_b 7.8921
_cell_length_c 7.8921
_cell_angle_alpha 90.00
_cell_angle_beta 90.00
_cell_angle_gamma 90.00
_space_group_name_H-M_alt 'F m -3 m'
_space_group_IT_number 225
_space_group_name_Hall '-F 4 2 3'
loop_
_atom_site_label
_atom_site_type_symbol
_atom_site_fract_x
_atom_site_fract_y
_atom_site_fract_z
_atom_site_occupancy
Au1 Au 0.0000 0.0000 0.0000 1
I1 I 0.0000 0.0000 0.5000 1
I2 I 0.2500 0.2500 0.2500 1
```

***

(10)
Au3I4 | PBE | relaxed

Output
Crystal system: cubic
Magnetic moment, μB per formula unit: 0.000
ΔE_f (raw), meV per atom: 18

CIF file:
```
data_Au3I4
_cell_length_a 6.3626
_cell_length_b 6.3626
_cell_length_c 6.3626
_cell_angle_alpha 90.00
_cell_angle_beta 90.00
_cell_angle_gamma 90.00
_space_group_name_H-M_alt 'P -4 3 m'
_space_group_IT_number 215
_space_group_name_Hall 'P -4 2 3'
loop_
_atom_site_label
_atom_site_type_symbol
_atom_site_fract_x
_atom_site_fract_y
_atom_site_fract_z
_atom_site_occupancy
Au1 Au 0.0000 0.0000 0.5000 1
I1 I 0.2580 0.2580 0.2580 1
```

***

(11)
AuI3 | PBE | relaxed

Output
Crystal system: orthorhombic
Magnetic moment, μB per formula unit: 0.000
ΔE_f (raw), meV per atom: 8

CIF file:
```
data_AuI3
_cell_length_a 4.0979
_cell_length_b 9.0946
_cell_length_c 9.0961
_cell_angle_alpha 90.00
_cell_angle_beta 90.00
_cell_angle_gamma 90.00
_space_group_name_H-M_alt 'I m m m'
_space_group_IT_number 71
_space_group_name_Hall '-I 2 2'
loop_
_atom_site_label
_atom_site_type_symbol
_atom_site_fract_x
_atom_site_fract_y
_atom_site_fract_z
_atom_site_occupancy
Au1 Au 0.0000 0.0000 0.0000 1
I1 I 0.0000 0.2995 0.5000 1
I2 I 0.0000 0.5000 0.0000 1
```

***

(12)
AuI3 | PBE | relaxed

Output
Crystal system: tetragonal
Magnetic moment, μB per formula unit: 0.000
ΔE_f (raw), meV per atom: 226

CIF file:
```
data_AuI3
_cell_length_a 8.6625
_cell_length_b 8.6625
_cell_length_c 7.6098
_cell_angle_alpha 90.00
_cell_angle_beta 90.00
_cell_angle_gamma 90.00
_space_group_name_H-M_alt 'I -4 2 d'
_space_group_IT_number 122
_space_group_name_Hall 'I -4 2bw'
loop_
_atom_site_label
_atom_site_type_symbol
_atom_site_fract_x
_atom_site_fract_y
_atom_site_fract_z
_atom_site_occupancy
Au1 Au 0.0000 0.0000 0.0000 1
I1 I 0.0000 0.0000 0.5000 1
I2 I 0.1679 0.2500 0.1250 1
```